Entry 1:
# HfGa2Ag2

Crystalline HfGa2Ag2 at its relaxed geometry (PBE, Alexandria).

```
HfGa2Ag2
1.0
-1.970 1.970 5.879
1.970 -1.970 5.879
1.970 1.970 -5.879
Hf Ga Ag
1 2 2
direct
0.000 0.000 0.000 Hf
0.400 0.400 0.000 Ga
0.600 0.600 0.000 Ga
0.250 0.750 0.500 Ag
0.750 0.250 0.500 Ag
```

Summary:
The calculated density comes out at 9.71 g/cm³. For the calculated total energy, the calculation gives -4.3990 eV/atom. The calculation puts the calculated volume at 91.2 Å³/cell. The energy relative to the elements is -0.06 eV per atom. Its energy above the most stable polymorph in this dataset is 0.0 meV per atom.

---

Entry 2:
# Hf3GaAg

Crystalline Hf3GaAg at its relaxed geometry (PBE, Alexandria).

```
Hf3GaAg
1.0
5.059 0.000 0.000
0.000 5.059 0.000
0.000 0.000 5.059
Hf Ga Ag
3 1 1
direct
0.000 0.000 0.500 Hf
0.000 0.500 0.000 Hf
0.500 0.000 0.000 Hf
0.500 0.500 0.500 Ga
0.000 0.000 0.000 Ag
```

Summary:
The calculated density comes out at 9.15 g/cm³. For the calculated total energy, the calculation gives -6.2036 eV/atom. The calculation puts the calculated volume at 129.4 Å³/cell. The energy relative to the elements is 0.94 eV per atom. Its energy above the most stable polymorph in this dataset is 271.2 meV per atom.

---

Entry 3:
# Hf3GaAg

Crystalline Hf3GaAg at its relaxed geometry (PBE, Alexandria).

```
Hf3GaAg
1.0
4.943 0.000 0.000
0.000 4.943 0.000
0.000 0.000 4.943
Hf Ga Ag
3 1 1
direct
0.000 0.000 0.500 Hf
0.000 0.500 0.000 Hf
0.500 0.000 0.000 Hf
0.000 0.000 0.000 Ga
0.500 0.500 0.500 Ag
```

Summary:
The calculated density comes out at 9.80 g/cm³. For the calculated total energy, the calculation gives -6.4747 eV/atom. The calculation puts the calculated volume at 120.8 Å³/cell. The energy relative to the elements is 0.67 eV per atom. Its energy above the most stable polymorph in this dataset is 0.0 meV per atom.

---

Entry 4:
# HfGa2Ag2

Crystalline HfGa2Ag2 at its relaxed geometry (PBE, Alexandria).

```
HfGa2Ag2
1.0
7.875 0.000 0.000
0.000 7.875 0.000
0.000 0.000 2.922
Hf Ga Ag
2 4 4
direct
0.000 0.000 0.000 Hf
0.500 0.500 0.000 Hf
0.176 0.324 0.500 Ga
0.324 0.824 0.500 Ga
0.676 0.176 0.500 Ga
0.824 0.676 0.500 Ga
0.125 0.625 0.000 Ag
0.375 0.125 0.000 Ag
0.625 0.875 0.000 Ag
0.875 0.375 0.000 Ag
```

Summary:
The calculated density comes out at 9.78 g/cm³. For the calculated total energy, the calculation gives -4.3153 eV/atom. The calculation puts the calculated volume at 181.2 Å³/cell. The energy relative to the elements is 0.03 eV per atom. Its energy above the most stable polymorph in this dataset is 83.7 meV per atom.

---

Entry 5:
# HoHfGaAg

Crystalline HoHfGaAg at its relaxed geometry (PBE, Alexandria).

```
HoHfGaAg
1.0
0.000 3.480 3.480
3.480 0.000 3.480
3.480 3.480 0.000
Ho Hf Ga Ag
1 1 1 1
direct
0.000 0.000 0.000 Ho
0.500 0.500 0.500 Hf
0.750 0.750 0.750 Ga
0.250 0.250 0.250 Ag
```

Summary:
The calculated density comes out at 10.26 g/cm³. For the calculated total energy, the calculation gives -5.3474 eV/atom. The calculation puts the calculated volume at 84.3 Å³/cell. The energy relative to the elements is -0.25 eV per atom.

---

Entry 6:
# HfGaAg2I

Crystalline HfGaAg2I at its relaxed geometry (PBE, Alexandria).

```
HfGaAg2I
1.0
5.267 0.000 0.000
0.000 5.267 0.000
0.000 0.000 5.340
Hf Ga Ag I
1 1 2 1
direct
0.000 0.000 0.000 Hf
0.500 0.500 0.000 Ga
0.000 0.500 0.500 Ag
0.500 0.000 0.500 Ag
0.000 0.000 0.500 I
```

Summary:
The calculated density comes out at 6.62 g/cm³. For the calculated total energy, the calculation gives -2.9084 eV/atom. The calculation puts the calculated volume at 148.1 Å³/cell. The energy relative to the elements, uncorrected comes out at 109.8 kJ/mol of atoms.

---

Entry 7:
# LiHfGaAg

Crystalline LiHfGaAg at its relaxed geometry (PBE, Alexandria).

```
LiHfGaAg
1.0
0.000 3.271 3.271
3.271 0.000 3.271
3.271 3.271 0.000
Li Hf Ga Ag
1 1 1 1
direct
0.000 0.000 0.000 Li
0.500 0.500 0.500 Hf
0.250 0.250 0.250 Ga
0.750 0.750 0.750 Ag
```

Summary:
The calculated density comes out at 8.61 g/cm³. For the calculated total energy, the calculation gives -4.6242 eV/atom. The calculation puts the calculated volume at 70.0 Å³/cell. The energy relative to the elements is -0.19 eV per atom.

---

Entry 8:
# LuHfGaAg

Crystalline LuHfGaAg at its relaxed geometry (PBE, Alexandria).

```
LuHfGaAg
1.0
0.000 3.450 3.450
3.450 0.000 3.450
3.450 3.450 0.000
Lu Hf Ga Ag
1 1 1 1
direct
0.000 0.000 0.000 Lu
0.500 0.500 0.500 Hf
0.750 0.750 0.750 Ga
0.250 0.250 0.250 Ag
```

Summary:
The calculated density comes out at 10.73 g/cm³. For the calculated total energy, the calculation gives -5.3405 eV/atom. The calculation puts the calculated volume at 82.2 Å³/cell. The energy relative to the elements is -0.25 eV per atom.

---

Entry 9:
# HfGa2AgP

Crystalline HfGa2AgP at its relaxed geometry (PBE, Alexandria).

```
HfGa2AgP
1.0
4.689 0.000 0.000
0.000 4.689 0.000
0.000 0.000 4.861
Hf Ga Ag P
1 2 1 1
direct
0.000 0.000 0.000 Hf
0.000 0.500 0.500 Ga
0.500 0.000 0.500 Ga
0.500 0.500 0.000 Ag
0.000 0.000 0.500 P
```

Summary:
The calculated density comes out at 7.10 g/cm³. For the calculated total energy, the calculation gives -4.5500 eV/atom. The calculation puts the calculated volume at 106.9 Å³/cell. The energy relative to the elements is 0.30 eV per atom.

---

Entry 10:
# PmHfGaAg

Crystalline PmHfGaAg at its relaxed geometry (PBE, Alexandria).

```
PmHfGaAg
1.0
0.000 3.539 3.539
3.539 0.000 3.539
3.539 3.539 0.000
Pm Hf Ga Ag
1 1 1 1
direct
0.000 0.000 0.000 Pm
0.500 0.500 0.500 Hf
0.750 0.750 0.750 Ga
0.250 0.250 0.250 Ag
```

Summary:
The calculated density comes out at 9.38 g/cm³. For the calculated total energy, the calculation gives -5.3362 eV/atom. The calculation puts the calculated volume at 88.7 Å³/cell. The energy relative to the elements is -0.19 eV per atom.

---

Entry 11:
# HfGaAgPt

Crystalline HfGaAgPt at its relaxed geometry (PBE, Alexandria).

```
HfGaAgPt
1.0
0.000 3.257 3.257
3.257 0.000 3.257
3.257 3.257 0.000
Hf Ga Ag Pt
1 1 1 1
direct
0.000 0.000 0.000 Hf
0.500 0.500 0.500 Ga
0.250 0.250 0.250 Ag
0.750 0.750 0.750 Pt
```

Summary:
The calculated density comes out at 13.24 g/cm³. For the calculated total energy, the calculation gives -5.9907 eV/atom. The calculation puts the calculated volume at 69.1 Å³/cell. The energy relative to the elements is -0.52 eV per atom.

---

Entry 12:
# HfGa2AgPt

Crystalline HfGa2AgPt at its relaxed geometry (PBE, Alexandria).

```
HfGa2AgPt
1.0
4.733 0.000 0.000
0.000 4.733 0.000
0.000 0.000 5.201
Hf Ga Ag Pt
1 2 1 1
direct
0.000 0.000 0.000 Hf
0.000 0.500 0.500 Ga
0.500 0.000 0.500 Ga
0.500 0.500 0.000 Ag
0.000 0.000 0.500 Pt
```

Summary:
The calculated density comes out at 8.85 g/cm³. For the calculated total energy, the calculation gives -4.8864 eV/atom. The calculation puts the calculated volume at 116.5 Å³/cell. The energy relative to the elements is 0.09 eV per atom.